{"formula": "Tl2TeP2", "functional": "PBE", "state": "optimized geometry", "space_group": "I4/mmm", "e_above_lowest_polymorph_mev_per_atom": 0, "vol_a3_per_atom": 25.87, "formation_energy_uncorrected_kj_per_mol_atoms": 6.9, "lattice": [[-3.158, 0.243, -1.193], [-0.317, -3.366, 0.155], [-5.660, -0.707, 10.036]], "species": ["P", "P", "Tl", "Tl", "Te"], "fractional_positions": [[0.750, 0.250, 0.500], [0.250, 0.750, 0.500], [0.376, 0.376, 0.247], [0.624, 0.624, 0.753], [0.000, 0.000, 0.000]]}

***

{"formula": "LuZrFeIr", "functional": "PBE", "state": "optimized geometry", "e_form_ev_per_atom": -0.510, "space_group": "F-43m", "vol_a3_per_atom": 17.61, "lattice": [[4.636, 0.000, 0.000], [2.318, 4.014, 0.000], [2.318, 1.338, 3.785]], "species": ["Ir", "Lu", "Fe", "Zr"], "fractional_positions": [[0.000, 0.000, 0.000], [0.750, 0.750, 0.750], [0.500, 0.500, 0.500], [0.250, 0.250, 0.250]]}

***

{"formula": "KNiBr2", "functional": "PBE", "state": "optimized geometry", "space_group": "Fm-3m", "e_above_lowest_polymorph_mev_per_atom": 465, "vol_a3_per_atom": 25.09, "formation_energy_uncorrected_kj_per_mol_atoms": -29.3, "lattice": [[2.592, 3.549, 2.810], [-1.657, 1.255, 4.784], [2.743, -1.482, 4.182]], "species": ["Ni", "K", "Br", "Br"], "fractional_positions": [[0.500, 0.500, 0.500], [0.000, 0.000, 0.000], [0.250, 0.250, 0.250], [0.750, 0.750, 0.750]]}

***

{"formula": "Ac4InPt2", "functional": "PBE", "state": "optimized geometry", "e_form_ev_per_atom": -0.794, "space_group": "Cmcm", "e_above_lowest_polymorph_mev_per_atom": 0, "vol_a3_per_atom": 35.63, "lattice": [[4.370, 0.000, 0.000], [-2.185, 7.508, 0.000], [0.000, 0.000, 15.203]], "species": ["Ac", "Ac", "Ac", "Ac", "Ac", "Ac", "Ac", "Ac", "Pt", "Pt", "Pt", "Pt", "In", "In"], "fractional_positions": [[0.766, 0.533, 0.114], [0.766, 0.533, 0.386], [0.234, 0.467, 0.886], [0.234, 0.467, 0.614], [0.933, 0.866, 0.750], [0.067, 0.134, 0.250], [0.500, 0.000, 0.000], [0.500, 0.000, 0.500], [0.133, 0.267, 0.441], [0.867, 0.733, 0.941], [0.133, 0.267, 0.059], [0.867, 0.733, 0.559], [0.609, 0.218, 0.750], [0.391, 0.782, 0.250]]}

***

{"formula": "BaLaHg2", "functional": "PBE", "state": "optimized geometry", "e_form_ev_per_atom": -0.506, "space_group": "P4/mmm", "vol_a3_per_atom": 33.35, "lattice": [[4.037, -0.017, 0.000], [0.016, 4.037, 0.000], [0.000, 0.000, 8.187]], "species": ["Ba", "Hg", "Hg", "La"], "fractional_positions": [[0.500, 0.500, 0.750], [0.000, 0.000, 0.033], [0.000, 0.000, 0.467], [0.500, 0.500, 0.250]]}

***

{"formula": "Tm2Hg2Pd5", "functional": "PBE", "state": "optimized geometry", "e_form_ev_per_atom": -0.524, "space_group": "Ima2", "vol_a3_per_atom": 19.24, "lattice": [[5.238, 0.000, 0.000], [0.000, 9.286, 0.000], [-2.619, -4.643, 7.119]], "species": ["Tm", "Tm", "Tm", "Tm", "Hg", "Hg", "Hg", "Hg", "Pd", "Pd", "Pd", "Pd", "Pd", "Pd", "Pd", "Pd", "Pd", "Pd"], "fractional_positions": [[0.096, 0.691, 0.253], [0.904, 0.438, 0.747], [0.656, 0.191, 0.253], [0.344, 0.938, 0.747], [0.000, 0.064, 0.000], [0.500, 0.564, 0.000], [0.286, 0.316, 0.500], [0.714, 0.816, 0.500], [0.205, 0.769, 0.909], [0.795, 0.860, 0.091], [0.204, 0.269, 0.909], [0.796, 0.360, 0.091], [0.400, 0.967, 0.303], [0.600, 0.664, 0.697], [0.403, 0.467, 0.303], [0.597, 0.164, 0.697], [0.001, 0.566, 0.500], [0.999, 0.066, 0.500]]}

***

{"formula": "Er4SeS3", "functional": "PBE", "state": "optimized geometry", "space_group": "R-3m", "e_above_lowest_polymorph_mev_per_atom": 0, "vol_a3_per_atom": 21.14, "formation_energy_uncorrected_kj_per_mol_atoms": -182.7, "lattice": [[3.858, 0.000, 0.589], [1.884, 3.367, 0.589], [-0.013, -0.008, 13.015]], "species": ["S", "S", "S", "Se", "Er", "Er", "Er", "Er"], "fractional_positions": [[0.752, 0.752, 0.743], [0.500, 0.500, 0.500], [0.248, 0.248, 0.257], [0.000, 0.000, 0.000], [0.619, 0.619, 0.142], [0.875, 0.875, 0.374], [0.381, 0.381, 0.858], [0.125, 0.125, 0.626]]}

***

{"formula": "YZnTe2", "functional": "PBE", "state": "optimized geometry", "space_group": "C2/m", "e_above_lowest_polymorph_mev_per_atom": 140, "vol_a3_per_atom": 28.59, "formation_energy_uncorrected_kj_per_mol_atoms": -75.8, "lattice": [[-1.860, 3.472, -1.477], [-4.134, -0.002, -0.776], [-3.299, 3.418, 6.234]], "species": ["Te", "Te", "Y", "Zn"], "fractional_positions": [[0.998, 0.998, 0.007], [0.502, 0.502, 0.493], [0.750, 0.750, 0.750], [0.250, 0.250, 0.250]]}

***

{"formula": "Pm2PuSc3Se6", "functional": "PBE", "state": "optimized geometry", "space_group": "C2/m", "vol_a3_per_atom": 23.04, "formation_energy_uncorrected_kj_per_mol_atoms": -160.9, "lattice": [[-3.378, 1.984, 0.738], [-1.692, 0.073, -7.945], [-2.023, -8.415, 2.594]], "species": ["Pm", "Pm", "Pu", "Sc", "Sc", "Sc", "Se", "Se", "Se", "Se", "Se", "Se"], "fractional_positions": [[0.834, 0.667, 0.668], [0.166, 0.333, 0.332], [0.500, 0.000, 0.000], [0.500, 0.500, 0.000], [0.833, 0.163, 0.666], [0.167, 0.837, 0.334], [0.329, 0.930, 0.658], [0.661, 0.599, 0.322], [0.671, 0.070, 0.342], [0.994, 0.260, 0.988], [0.006, 0.740, 0.012], [0.339, 0.401, 0.678]]}

***

{"formula": "NaDyGe2Cl8", "functional": "PBE", "state": "optimized geometry", "space_group": "P-1", "vol_a3_per_atom": 28.88, "formation_energy_uncorrected_kj_per_mol_atoms": -139.4, "lattice": [[-4.945, -2.925, -3.370], [-2.225, -2.811, 5.171], [-5.036, 6.417, 1.420]], "species": ["Na", "Dy", "Ge", "Ge", "Cl", "Cl", "Cl", "Cl", "Cl", "Cl", "Cl", "Cl"], "fractional_positions": [[0.000, 0.000, 0.500], [0.000, 0.000, 0.000], [0.466, 0.470, 0.744], [0.534, 0.530, 0.256], [0.187, 0.792, 0.235], [0.685, 0.750, 0.032], [0.855, 0.250, 0.236], [0.813, 0.208, 0.765], [0.315, 0.250, 0.968], [0.145, 0.750, 0.764], [0.661, 0.719, 0.470], [0.339, 0.281, 0.530]]}

***

{"formula": "MnCCl3", "functional": "PBE", "state": "optimized geometry", "space_group": "Pm-3m", "vol_a3_per_atom": 17.69, "formation_energy_uncorrected_kj_per_mol_atoms": 85.6, "lattice": [[4.456, 0.000, 0.000], [0.000, 4.456, 0.000], [0.000, 0.000, 4.456]], "species": ["C", "Mn", "Cl", "Cl", "Cl"], "fractional_positions": [[0.000, 0.000, 0.000], [0.500, 0.500, 0.500], [0.000, 0.500, 0.000], [0.000, 0.000, 0.500], [0.500, 0.000, 0.000]]}

***

{"formula": "AlSi2Ni", "functional": "PBE", "state": "optimized geometry", "space_group": "I4/mmm", "vol_a3_per_atom": 13.39, "formation_energy_uncorrected_kj_per_mol_atoms": 4.9, "lattice": [[-3.510, 1.814, 2.330], [-3.407, -3.070, 0.114], [4.447, -0.385, 1.057]], "species": ["Ni", "Si", "Si", "Al"], "fractional_positions": [[0.750, 0.250, 0.500], [0.000, 0.000, 0.000], [0.500, 0.500, 0.000], [0.250, 0.750, 0.500]]}

***

{"formula": "ScTlNF2", "functional": "PBE", "state": "optimized geometry", "space_group": "P4/mmm", "e_above_lowest_polymorph_mev_per_atom": 1295, "vol_a3_per_atom": 17.02, "formation_energy_uncorrected_kj_per_mol_atoms": -55.7, "lattice": [[4.493, 0.000, 0.000], [0.000, 4.493, 0.000], [0.000, 0.000, 4.216]], "species": ["Sc", "Tl", "N", "F", "F"], "fractional_positions": [[0.500, 0.500, 0.500], [0.000, 0.000, 0.000], [0.000, 0.000, 0.500], [0.000, 0.500, 0.000], [0.500, 0.000, 0.000]]}

***

{"formula": "BaY2Tl", "functional": "PBE", "state": "optimized geometry", "e_form_ev_per_atom": 0.090, "space_group": "I4/mmm", "e_above_lowest_polymorph_mev_per_atom": 195, "vol_a3_per_atom": 33.50, "lattice": [[6.249, -0.070, 0.000], [2.101, 5.886, 0.000], [-4.175, -2.908, 3.629]], "species": ["Ba", "Tl", "Y", "Y"], "fractional_positions": [[0.250, 0.750, 0.500], [0.750, 0.250, 0.500], [0.000, 0.000, 0.000], [0.500, 0.500, 0.000]]}

***

{"formula": "Sm2OsCl", "functional": "PBE", "state": "optimized geometry", "space_group": "P4/mmm", "e_above_lowest_polymorph_mev_per_atom": 0, "vol_a3_per_atom": 23.31, "formation_energy_uncorrected_kj_per_mol_atoms": -76.0, "lattice": [[-1.415, -2.636, -1.607], [-0.219, -1.677, 2.945], [-7.332, 3.170, 1.259]], "species": ["Os", "Sm", "Sm", "Cl"], "fractional_positions": [[0.500, 0.500, 0.000], [0.000, 0.000, 0.785], [0.000, 0.000, 0.215], [0.500, 0.500, 0.500]]}

***

{"formula": "Ac6CuPt5", "functional": "PBE", "state": "optimized geometry", "e_form_ev_per_atom": -1.000, "space_group": "C2/m", "vol_a3_per_atom": 30.25, "lattice": [[7.496, -0.111, -1.414], [-4.045, 6.312, -1.414], [0.147, 0.264, 7.625]], "species": ["Ac", "Ac", "Ac", "Ac", "Ac", "Ac", "Pt", "Pt", "Pt", "Pt", "Pt", "Cu"], "fractional_positions": [[0.426, 0.085, 0.255], [0.915, 0.574, 0.745], [0.257, 0.257, 0.747], [0.743, 0.743, 0.253], [0.085, 0.426, 0.255], [0.574, 0.915, 0.745], [0.836, 0.164, 0.500], [0.667, 0.333, 0.000], [0.500, 0.500, 0.500], [0.333, 0.667, 0.000], [0.164, 0.836, 0.500], [0.000, 0.000, 0.000]]}

***

{"formula": "SiMoS3", "functional": "PBE", "state": "optimized geometry", "space_group": "Pm-3m", "e_above_lowest_polymorph_mev_per_atom": 218, "vol_a3_per_atom": 17.89, "formation_energy_uncorrected_kj_per_mol_atoms": 57.1, "lattice": [[-0.182, -4.175, 1.594], [1.959, -1.508, -3.727], [4.016, 0.547, 1.890]], "species": ["Mo", "Si", "S", "S", "S"], "fractional_positions": [[0.500, 0.500, 0.500], [0.000, 0.000, 0.000], [0.000, 0.500, 0.000], [0.000, 0.000, 0.500], [0.500, 0.000, 0.000]]}

***

{"formula": "ZrTlPt", "functional": "PBE", "state": "optimized geometry", "e_form_ev_per_atom": -0.476, "space_group": "F-43m", "vol_a3_per_atom": 22.90, "lattice": [[-0.401, -3.800, -2.557], [3.623, -2.769, -0.586], [0.079, -4.137, 2.003]], "species": ["Pt", "Tl", "Zr"], "fractional_positions": [[0.250, 0.250, 0.250], [0.000, 0.000, 0.000], [0.500, 0.500, 0.500]]}

***

{"formula": "Ti6PdN", "functional": "PBE", "state": "optimized geometry", "space_group": "P-1", "vol_a3_per_atom": 15.30, "formation_energy_uncorrected_kj_per_mol_atoms": -55.8, "lattice": [[4.581, -0.173, -1.198], [2.062, 4.863, -1.013], [1.205, 1.253, 4.968]], "species": ["Ti", "Ti", "Ti", "Ti", "Ti", "Ti", "Pd", "N"], "fractional_positions": [[0.058, 0.340, 0.800], [0.790, 0.951, 0.672], [0.592, 0.243, 0.109], [0.210, 0.049, 0.328], [0.942, 0.660, 0.200], [0.408, 0.757, 0.891], [0.500, 0.500, 0.500], [0.000, 0.000, 0.000]]}

***

{"formula": "VPdS2", "functional": "PBE", "state": "optimized geometry", "space_group": "I-42d", "vol_a3_per_atom": 19.40, "formation_energy_uncorrected_kj_per_mol_atoms": -51.0, "lattice": [[-4.678, -0.235, 2.768], [-1.350, -4.546, -2.667], [-0.673, -5.263, 3.762]], "species": ["S", "S", "S", "S", "Pd", "Pd", "V", "V"], "fractional_positions": [[0.601, 0.125, 0.250], [0.149, 0.625, 0.250], [0.375, 0.399, 0.750], [0.875, 0.851, 0.750], [0.000, 0.000, 0.000], [0.750, 0.250, 0.500], [0.500, 0.500, 0.000], [0.250, 0.750, 0.500]]}